No. 1
The following is a GGA+U calculation of crystalline Ca2NbNiO at its relaxed geometry, from Alexandria via LeMat-Bulk.

Results
As for the total energy: -3.63 eV per atom. The symmetry is P4/mmm (123).

Cell: 5.290 5.290 4.461 Å, 90.00 90.00 90.00°
Element x y z (fractional)
Ca1 0.000 0.500 0.000
Ca2 0.500 0.000 0.000
Nb1 0.000 0.000 0.500
Ni1 0.000 0.000 0.000
O1 0.500 0.500 0.500

No. 2
The following is a GGA+U calculation of crystalline Ca2Nb2NiO8 at its relaxed geometry, from Alexandria via LeMat-Bulk.

Results
As for the total energy: -7.60 eV per atom. The symmetry is C2/c (15).

Cell: 9.990 9.990 5.505 Å, 91.26 91.26 36.38°
Element x y z (fractional)
Ca1 0.012 0.403 0.243
Ca2 0.403 0.012 0.743
Ca3 0.597 0.988 0.257
Ca4 0.988 0.597 0.757
Nb1 0.232 0.550 0.238
Nb2 0.450 0.768 0.262
Nb3 0.550 0.232 0.738
Nb4 0.768 0.450 0.762
Ni1 0.137 0.863 0.750
Ni2 0.863 0.137 0.250
O1 0.041 0.325 0.848
O2 0.085 0.805 0.415
O3 0.195 0.915 0.085
O4 0.262 0.374 0.479
O5 0.299 0.562 0.900
O6 0.325 0.041 0.348
O7 0.374 0.262 0.979
O8 0.438 0.701 0.600
O9 0.562 0.299 0.400
O10 0.626 0.738 0.021
O11 0.675 0.959 0.652
O12 0.701 0.438 0.100
O13 0.738 0.626 0.521
O14 0.805 0.085 0.915
O15 0.915 0.195 0.585
O16 0.959 0.675 0.152